Record 1
First-principles (PBE) data for crystalline AgPdSO at its relaxed geometry, as listed in the Open Quantum Materials Database.

As for the excess energy over the best structure of this formula in the dataset: 37.6 meV/atom.

It has space group Pnma (No. 62), with a = 5.904 Å, b = 3.424 Å, c = 11.992 Å, α = 90.00°, β = 90.00° and γ = 90.00°. The inequivalent atoms are Ag at (0.241, 0.250, 0.007), Pd at (0.059, 0.250, 0.751), S at (0.189, 0.250, 0.348) and O at (0.193, 0.750, 0.130).

=====

Record 2
First-principles (PBE) data for crystalline PrOF at its relaxed geometry, as listed in the Open Quantum Materials Database.

As for the total energy: -7.41 eV per atom.

It has space group P4_12_12 (No. 92), with a = 5.378 Å, b = 5.378 Å, c = 7.471 Å, α = 90.00°, β = 90.00° and γ = 90.00°. The inequivalent atoms are Pr at (0.029, 0.029, 0.000), O at (0.179, 0.821, 0.250) and F at (0.200, 0.800, 0.750).

=====

Record 3
First-principles (PBE) data for crystalline HoSiNO at its relaxed geometry, as listed in the Open Quantum Materials Database.

As for the excess energy over the best structure of this formula in the dataset: 131.4 meV/atom.

It has space group Pca2_1 (No. 29), with a = 5.256 Å, b = 8.194 Å, c = 4.862 Å, α = 90.00°, β = 90.00° and γ = 90.00°. The inequivalent atoms are Ho at (0.016, 0.132, 0.000), Si at (0.078, 0.589, 0.946), N at (0.117, 0.565, 0.587) and O at (0.053, 0.238, 0.508).

=====

Record 4
First-principles (PBE) data for crystalline Rb2NaTcCl6 at its relaxed geometry, as listed in the Open Quantum Materials Database.

As for the total energy: -3.86 eV per atom.

It has space group C2/m (No. 12), with a = 12.507 Å, b = 7.230 Å, c = 7.226 Å, α = 90.00°, β = 125.23° and γ = 90.00°. The inequivalent atoms are Rb at (0.250, 0.000, 0.249), Na at (0.000, 0.000, 0.500), Tc at (0.000, 0.500, 0.000), Cl at (0.001, 0.265, 0.765) and Cl at (0.235, 0.500, 0.236).

=====

Record 5
First-principles (PBE) data for crystalline CsBaLuS3 at its relaxed geometry, as listed in the Open Quantum Materials Database.

As for the total energy: -5.04 eV per atom.

It has space group Cmcm (No. 63), with a = 4.573 Å, b = 15.722 Å, c = 13.054 Å, α = 90.00°, β = 90.00° and γ = 90.00°. The inequivalent atoms are Cs at (0.000, 0.248, 0.250), Ba at (0.000, 0.000, 0.000), Lu at (0.000, 0.474, 0.750), S at (0.000, 0.057, 0.750) and S at (0.000, 0.385, 0.593).

=====

Record 6
First-principles (PBE) data for crystalline TmTePbAuS2 at its relaxed geometry, as listed in the Open Quantum Materials Database.

As for the total energy: -4.66 eV per atom.

It has space group Cmcm (No. 63), with a = 4.026 Å, b = 14.091 Å, c = 11.053 Å, α = 90.00°, β = 90.00° and γ = 90.00°. The inequivalent atoms are Tm at (0.000, 0.000, 0.000), Te at (0.000, 0.109, 0.250), Pb at (0.000, 0.206, 0.750), Au at (0.000, 0.468, 0.250) and S at (0.000, 0.375, 0.057).

=====

Record 7
First-principles (PBE) data for crystalline AgCl2 at its relaxed geometry, as listed in the Open Quantum Materials Database.

As for the total energy: -2.31 eV per atom.

It has space group Fd-3m (No. 227, origin choice 2), with a = 11.219 Å, b = 11.219 Å, c = 11.219 Å, α = 90.00°, β = 90.00° and γ = 90.00°. The inequivalent atoms are Ag at (0.125, 0.125, 0.125) and Cl at (0.000, 0.000, 0.000).

=====

Record 8
First-principles (PBE) data for crystalline B2Pt2O5 at its relaxed geometry, as listed in the Open Quantum Materials Database.

As for the excess energy over the best structure of this formula in the dataset: 994.7 meV/atom.

It has space group P4/mmm (No. 123), with a = 3.857 Å, b = 3.857 Å, c = 6.608 Å, α = 90.00°, β = 90.00° and γ = 90.00°. The inequivalent atoms are B at (0.000, 0.000, 0.000), B at (0.000, 0.000, 0.500), Pt at (0.500, 0.500, 0.195), O at (0.000, 0.500, 0.257) and O at (0.500, 0.500, 0.500).

=====

Record 9
First-principles (PBE) data for crystalline LiTaNiAs at its relaxed geometry, as listed in the Open Quantum Materials Database.

As for the excess energy over the best structure of this formula in the dataset: 121.9 meV/atom.

It has space group F-43m (No. 216), with a = 6.080 Å, b = 6.080 Å, c = 6.080 Å, α = 90.00°, β = 90.00° and γ = 90.00°. The inequivalent atoms are Li at (0.000, 0.000, 0.000), Ta at (0.250, 0.250, 0.750), Ni at (0.000, 0.000, 0.500) and As at (0.250, 0.250, 0.250).

=====

Record 10
First-principles (PBE) data for crystalline CuHgIrPb at its relaxed geometry, as listed in the Open Quantum Materials Database.

As for the excess energy over the best structure of this formula in the dataset: 157.4 meV/atom.

It has space group F-43m (No. 216), with a = 6.744 Å, b = 6.744 Å, c = 6.744 Å, α = 90.00°, β = 90.00° and γ = 90.00°. The inequivalent atoms are Cu at (0.000, 0.000, 0.000), Hg at (0.000, 0.000, 0.500), Ir at (0.250, 0.250, 0.250) and Pb at (0.250, 0.250, 0.750).

=====

Record 11
First-principles (PBE) data for crystalline Hg2PtO4 at its relaxed geometry, as listed in the Open Quantum Materials Database.

As for the total energy: -3.85 eV per atom.

It has space group Fddd (No. 70, origin choice 2), with a = 6.548 Å, b = 11.060 Å, c = 11.690 Å, α = 90.00°, β = 90.00° and γ = 90.00°. The inequivalent atoms are Hg at (0.125, 0.301, 0.125), Pt at (0.125, 0.125, 0.625) and O at (0.032, 0.010, 0.312).

=====

Record 12
First-principles (PBE) data for crystalline LaCo12B6 at its relaxed geometry, as listed in the Open Quantum Materials Database.

As for the total energy: -7.20 eV per atom.

It has space group R-3m (No. 166, hexagonal axes), with a = 9.4516 Å, b = 9.4516 Å, c = 7.4503 Å, α = 90.00°, β = 90.00° and γ = 120.00°. The inequivalent atoms are La at (0.0000, 0.0000, 0.0000), Co at (0.0000, 0.3666, 0.5000), Co at (0.0908, 0.1815, 0.3684) and B at (0.0401, 0.5201, 0.2893).